Mg8BPt4 | meta-GGA SCAN | PBEsol geometry

Summary:
Its energy is -338.7 eV per formula unit. The formation energy comes out at -0.821 eV per atom. The magnetic moment is 0.000 μB/cell.

Cell and atoms, written as POSCAR:
```
Mg8BPt4
1.0
0.000 6.109 6.109
6.109 0.000 6.109
6.109 6.109 0.000
Mg B Pt
16 2 8
direct
0.000 0.000 0.000
0.000 0.000 0.500
0.000 0.500 0.000
0.175 0.175 0.575
0.175 0.575 0.175
0.175 0.575 0.575
0.425 0.425 0.825
0.425 0.825 0.425
0.425 0.825 0.825
0.500 0.000 0.000
0.575 0.175 0.175
0.575 0.175 0.575
0.575 0.575 0.175
0.825 0.425 0.425
0.825 0.425 0.825
0.825 0.825 0.425
0.125 0.125 0.125
0.875 0.875 0.875
0.172 0.776 0.776
0.224 0.224 0.224
0.224 0.224 0.828
0.224 0.828 0.224
0.776 0.172 0.776
0.776 0.776 0.172
0.776 0.776 0.776
0.828 0.224 0.224
```